Material: LuFeGe
Method: DFT, PBE
State: optimized geometry

Cell lengths 4.1491, 4.1491, 3.5914 Å; angles 90.00, 90.00, 120.00 degrees
Element x y z (fractional)
Lu 0.0000 0.0000 0.0000
Fe 0.3333 0.6667 0.5000
Ge 0.6667 0.3333 0.5000

Values from the calculation:
Formation energy   -415 meV/atom
Magnetic moment   1.5 μB per formula unit

=====

Material: CaGeAsO6
Method: DFT, PBE
State: optimized geometry

Cell lengths 4.9884, 4.9884, 10.1857 Å; angles 90.00, 90.00, 120.00 degrees
Element x y z (fractional)
Ca 0.0000 0.0000 0.0000
Ca 0.0000 0.0000 0.5000
Ge 0.3333 0.6667 0.2500
Ge 0.6667 0.3333 0.7500
As 0.3333 0.6667 0.7500
As 0.6667 0.3333 0.2500
O 0.0089 0.3755 0.6475
O 0.0089 0.6334 0.8525
O 0.3666 0.3755 0.8525
O 0.3666 0.9911 0.6475
O 0.3755 0.0089 0.1475
O 0.3755 0.3666 0.3525
O 0.6245 0.6334 0.6475
O 0.6245 0.9911 0.8525
O 0.6334 0.0089 0.3525
O 0.6334 0.6245 0.1475
O 0.9911 0.3666 0.1475
O 0.9911 0.6245 0.3525

Values from the calculation:
Magnetic moment   1.0 μB per formula unit
Raw formation energy   -15.2 eV per formula unit

=====

Material: Hf3WC
Method: DFT, PBE
State: optimized geometry

Cell lengths 4.4613, 4.4613, 4.4613 Å; angles 90.00, 90.00, 90.00 degrees
Element x y z (fractional)
Hf 0.0000 0.0000 0.5000
Hf 0.0000 0.5000 0.0000
Hf 0.5000 0.0000 0.0000
W 0.5000 0.5000 0.5000
C 0.0000 0.0000 0.0000

Values from the calculation:
Formation energy   -157 meV/atom
Magnetic moment   0.0 μB per formula unit

=====

What is the magnetic moment in the second record?
1.0 μB per formula unit

=====

Which value of magnetic moment does entry 2 give?
1.0 μB per formula unit

=====

Which value of magnetic moment does entry 2 give?
1.0 μB per formula unit